Record 1
Crystalline Ba3CaTa2O9 at its relaxed geometry. Source: Alexandria via LeMat-Bulk, functional PBEsol.

Cell and atoms, written as extended XYZ:
```
15
Lattice="5.893 0.000 0.000 -2.946 5.103 0.000 0.000 0.000 7.279" Properties=species:S:1:pos:R:3 pbc="T T T"
O 4.333 0.901 4.996
Ba 0.000 0.000 0.000
Ba 0.000 3.402 4.851
Ta 2.946 1.701 6.058
O 2.946 3.302 4.996
O -1.473 2.552 0.000
Ba 2.946 1.701 2.427
Ta 0.000 3.402 1.221
O 0.000 1.801 2.283
O 1.560 0.901 4.996
O 1.386 4.203 2.283
Ca 0.000 0.000 3.639
O 2.946 0.000 0.000
O 1.473 2.552 0.000
O -1.386 4.203 2.283
```

***

Record 2
Crystalline Ba2CaTeO6 at its relaxed geometry. Source: Alexandria via LeMat-Bulk, functional PBEsol.

Cell and atoms, written as extended XYZ:
```
10
Lattice="-1.993 -4.348 3.516 2.430 -0.839 5.350 -3.081 1.321 4.899" Properties=species:S:1:pos:R:3 pbc="T T T"
O -3.054 -2.438 7.590
O -1.632 -3.048 5.327
O -0.509 -3.436 7.799
O -1.012 -0.817 8.438
Te -1.322 -1.933 6.882
Ca 0.000 0.000 0.000
O 0.411 -1.428 6.175
O -2.134 -0.430 5.966
Ba -0.661 -0.966 3.441
Ba -1.983 -2.899 10.324
```

***

| no. | D(E_F) (states/eV/cell) | ΔE_f (raw) (eV/atom) |
| --- | --- | --- |
| 1 | 0.0 | -3.08 |
| 2 | 0.0 | -2.43 |